A relaxed Mg2Be crystal. Source: Alexandria, functional PBE-GGA.

Summary:
The value obtained for the formation energy is 0.302 eV/atom. Its density of states at the Fermi level is 0.33 states/eV per atom. For the final energy, the calculation gives -12.0 eV for the cell shown.

Unit cell a=4.5540 b=4.5540 c=5.7925 alpha=90.00 beta=90.00 gamma=120.00
With the nearest neighbours (Å) after each atom.
Space group P6_3/mmc (No. 194)
Symmetry-distinct sites (fractional):
Mg  0.0000  0.0000  0.0000 (multiplicity 2)  8 Mg 2.90-3.00, 6 Be 3.00
Mg  0.3333  0.6667  0.2500 (multiplicity 2)  5 Be 2.63-2.90
Be  0.3333  0.6667  0.7500 (multiplicity 2)  5 Mg 2.63-2.90